Density functional theory data (PBE) for LiDy2Hg4Pb after structural relaxation.

For the density of states at the Fermi level, the calculation gives 0.307 states/eV per atom. The calculation puts the volume at 24.0 A^3/atom. The total energy is -2.388 eV/atom.

The space group is R-3m (No. 166, hexagonal axes) and the conventional cell measures 5.1481, 5.1481 and 25.1032 Å, with angles of 90.00, 90.00 and 120.00 degrees. Symmetry generates all atoms from Li at (0.0000, 0.0000, 0.0000), Dy at (0.0000, 0.0000, 0.2450), Hg at (0.0000, 0.0000, 0.1127), Hg at (0.0000, 0.0000, 0.3659) and Pb at (0.0000, 0.0000, 0.5000).

Density functional theory data (PBE) for Nd2Ho3ThS6 after structural relaxation.

For the density of states at the Fermi level, the calculation gives 0.455 states/eV per atom. The calculation puts the volume at 22.2 A^3/atom. For the formation energy from raw total energies, the calculation gives -1.96 eV per atom.

The space group is C2/m (No. 12) and the conventional cell measures 17.439, 3.943 and 8.012 Å, with angles of 90.00, 104.95 and 90.00 degrees. Symmetry generates all atoms from Nd at (0.165, 0.000, 0.330), Ho at (0.000, 0.500, 0.500), Ho at (0.167, 0.000, 0.834), Th at (0.000, 0.500, 0.000), S at (0.005, 0.000, 0.741), S at (0.164, 0.500, 0.593) and S at (0.171, 0.500, 0.073).